P | Material: SmZn3Cu
Method: DFT, PBE
State: optimized geometry

a = 6.1687 Å, b = 6.1687 Å, c = 5.8244 Å
α = 90.00°, β = 90.00°, γ = 124.36°
Fractional positions:
1 Sm 0.2445 0.7555 0.7500
2 Sm 0.7555 0.2445 0.2500
3 Zn 0.1340 0.8660 0.2500
4 Zn 0.2658 0.2658 0.0000
5 Zn 0.2658 0.2658 0.5000
6 Zn 0.7342 0.7342 0.0000
7 Zn 0.7342 0.7342 0.5000
8 Zn 0.8660 0.1340 0.7500
9 Cu 0.3570 0.6430 0.2500
10 Cu 0.6430 0.3570 0.7500

Output
Fermi-level density of states = 0.523 states/eV per atom
Crystal system = orthorhombic
Space group = Cmcm
Total moment = 0.00 μB per formula unit

Q | Material: SmZn3Cu
Method: DFT, PBE
State: optimized geometry

a = 4.6038 Å, b = 4.6038 Å, c = 4.6038 Å
α = 90.00°, β = 90.00°, γ = 90.00°
Fractional positions:
1 Sm 0.0000 0.0000 0.0000
2 Zn 0.0000 0.5000 0.5000
3 Zn 0.5000 0.0000 0.5000
4 Zn 0.5000 0.5000 0.0000
5 Cu 0.5000 0.5000 0.5000

Output
Fermi-level density of states = 0.556 states/eV per atom
Crystal system = cubic
Space group = Pm-3m
Total moment = 0.00 μB per formula unit

R | Material: SmZn3Cu
Method: DFT, PBE
State: optimized geometry

a = 6.2941 Å, b = 6.2941 Å, c = 5.2753 Å
α = 90.00°, β = 90.00°, γ = 120.00°
Fractional positions:
1 Sm 0.3333 0.6667 0.2500
2 Sm 0.6667 0.3333 0.7500
3 Zn 0.1915 0.3830 0.7500
4 Zn 0.1915 0.8085 0.7500
5 Zn 0.3830 0.1915 0.2500
6 Zn 0.6170 0.8085 0.7500
7 Zn 0.8085 0.1915 0.2500
8 Zn 0.8085 0.6170 0.2500
9 Cu 0.0000 0.0000 0.0000
10 Cu 0.0000 0.0000 0.5000

Output
Fermi-level density of states = 0.282 states/eV per atom
Crystal system = hexagonal
Space group = P6_3/mmc
Total moment = 0.00 μB per formula unit

It turns out P is the most stable, with the second structure 0.027 eV/atom higher.